Record 1
VASP calculation (PBE) on OsSBrCl2 after structural relaxation.

ΔE to the lowest computed polymorph = 1.425 eV/atom
Formation energy from raw total energies = 167.0 kJ per mole of atoms

Geometry as extended XYZ:
```
5
Lattice="5.175 0.000 0.000 0.000 5.175 0.000 0.000 0.000 4.925" Properties=species:S:1:pos:R:3 pbc="T T T"
Os 0.000 0.000 0.000
S 2.587 2.587 0.000
Br 2.587 2.587 2.462
Cl 0.000 2.587 2.462
Cl 2.587 0.000 2.462
```

Record 2
VASP calculation (PBE) on OsSBrCl2 after structural relaxation.

ΔE to the lowest computed polymorph = 0.000 eV/atom
Formation energy from raw total energies = 29.5 kJ per mole of atoms

Geometry as extended XYZ:
```
5
Lattice="4.876 0.000 0.000 0.000 4.876 0.000 0.000 0.000 4.484" Properties=species:S:1:pos:R:3 pbc="T T T"
Os 0.000 0.000 0.000
S 0.000 0.000 2.242
Br 2.438 2.438 2.242
Cl 0.000 2.438 0.000
Cl 2.438 0.000 0.000
```

Record 3
VASP calculation (PBE) on OsSeBr2Cl after structural relaxation.

ΔE to the lowest computed polymorph = 0.000 eV/atom
Formation energy from raw total energies = 42.7 kJ per mole of atoms

Geometry as extended XYZ:
```
5
Lattice="5.145 0.000 0.000 0.000 5.145 0.000 0.000 0.000 4.697" Properties=species:S:1:pos:R:3 pbc="T T T"
Os 0.000 0.000 0.000
Se 0.000 0.000 2.348
Br 0.000 2.572 0.000
Br 2.572 0.000 0.000
Cl 2.572 2.572 2.348
```

Record 4
VASP calculation (PBE) on OsSeBr2Cl after structural relaxation.

ΔE to the lowest computed polymorph = 1.296 eV/atom
Formation energy from raw total energies = 167.7 kJ per mole of atoms

Geometry as extended XYZ:
```
5
Lattice="5.060 0.000 0.000 0.000 5.060 0.000 0.000 0.000 5.425" Properties=species:S:1:pos:R:3 pbc="T T T"
Os 0.000 0.000 0.000
Se 2.530 2.530 0.000
Br 0.000 2.530 2.712
Br 2.530 0.000 2.712
Cl 2.530 2.530 2.712
```